# KTaPd GGA-PBE relaxed
data_KTaPd
_chemical_formula_sum 'K1 Ta1 Pd1'
_space_group_name_H-M_alt 'P 1'
_space_group_IT_number 1
_space_group_name_Hall 'P 1'
_cell_length_a 4.737
_cell_length_b 4.737
_cell_length_c 4.737
_cell_angle_alpha 60.00
_cell_angle_beta 60.00
_cell_angle_gamma 60.00
loop_
_atom_site_label
_atom_site_type_symbol
_atom_site_fract_x
_atom_site_fract_y
_atom_site_fract_z
K1 K 0.000 0.000 0.000
Ta1 Ta 0.500 0.500 0.500
Pd1 Pd 0.750 0.750 0.750
# space group = No. 216
# calculated total energy = -4.677 eV/atom

---

# K2Ta2Pd3 GGA-PBE relaxed
data_K2Ta2Pd3
_chemical_formula_sum 'K2 Ta2 Pd3'
_space_group_name_H-M_alt 'P 1'
_space_group_IT_number 1
_space_group_name_Hall 'P 1'
_cell_length_a 11.831
_cell_length_b 11.831
_cell_length_c 11.831
_cell_angle_alpha 21.92
_cell_angle_beta 21.92
_cell_angle_gamma 21.92
loop_
_atom_site_label
_atom_site_type_symbol
_atom_site_fract_x
_atom_site_fract_y
_atom_site_fract_z
K1 K 0.000 0.000 0.000
K2 K 0.428 0.428 0.428
Ta1 Ta 0.193 0.193 0.193
Ta2 Ta 0.588 0.588 0.588
Pd1 Pd 0.268 0.268 0.268
Pd2 Pd 0.514 0.514 0.514
Pd3 Pd 0.892 0.892 0.892
# space group = No. 160
# calculated total energy = -5.767 eV/atom